No. 1
# PBE-GGA Ti2VZnC, relaxed
data_Ti2VZnC
_chemical_formula_sum 'Ti2 V1 Zn1 C1'
_cell_length_a 4.1787
_cell_length_b 4.1787
_cell_length_c 3.9598
_cell_angle_alpha 90.00
_cell_angle_beta 90.00
_cell_angle_gamma 90.00
_symmetry_space_group_name_H-M 'P 4/m m m'
_symmetry_Int_Tables_number 123
_symmetry_space_group_name_Hall '-P 4 2'
loop_
_atom_site_label
_atom_site_type_symbol
_atom_site_fract_x
_atom_site_fract_y
_atom_site_fract_z
Ti1 Ti 0.0000 0.5000 0.0000
V1 V 0.0000 0.0000 0.5000
Zn1 Zn 0.5000 0.5000 0.5000
C1 C 0.0000 0.0000 0.0000
# V   69.1 Å³/cell
# Formation energy   -0.3852 eV per atom
# Total magnetic moment   0.4 Bohr magnetons per cell


No. 2
# PBE-GGA MnAuI, relaxed
data_MnAuI
_chemical_formula_sum 'Mn4 Au4 I4'
_cell_length_a 12.7322
_cell_length_b 3.7959
_cell_length_c 6.5612
_cell_angle_alpha 90.00
_cell_angle_beta 90.00
_cell_angle_gamma 90.00
_symmetry_space_group_name_H-M 'A m m 2'
_symmetry_Int_Tables_number 38
_symmetry_space_group_name_Hall 'A 2 -2'
loop_
_atom_site_label
_atom_site_type_symbol
_atom_site_fract_x
_atom_site_fract_y
_atom_site_fract_z
Mn1 Mn 0.0000 0.0000 0.0000
Mn2 Mn 0.5000 0.0000 0.1365
Au1 Au 0.3755 0.0000 0.8013
I1 I 0.1463 0.0000 0.3324
# V   317.1 Å³/cell
# Formation energy (no corrections)   0.155 eV per atom
# Total magnetic moment   18.9 Bohr magnetons per cell


No. 3
# PBE-GGA NaLiHg2, relaxed
data_NaLiHg2
_chemical_formula_sum 'Na4 Li4 Hg8'
_cell_length_a 7.1068
_cell_length_b 7.1068
_cell_length_c 7.1068
_cell_angle_alpha 90.00
_cell_angle_beta 90.00
_cell_angle_gamma 90.00
_symmetry_space_group_name_H-M 'F m -3 m'
_symmetry_Int_Tables_number 225
_symmetry_space_group_name_Hall '-F 4 2 3'
loop_
_atom_site_label
_atom_site_type_symbol
_atom_site_fract_x
_atom_site_fract_y
_atom_site_fract_z
Na1 Na 0.0000 0.0000 0.0000
Li1 Li 0.0000 0.0000 0.5000
Hg1 Hg 0.2500 0.2500 0.2500
# V   358.9 Å³/cell
# Formation energy   -0.2646 eV per atom
# Total magnetic moment   0.0 Bohr magnetons per cell


No. 4
# PBE-GGA Na3Li2In7, relaxed
data_Na3Li2In7
_chemical_formula_sum 'Na9 Li6 In21'
_cell_length_a 6.2247
_cell_length_b 6.2247
_cell_length_c 28.5489
_cell_angle_alpha 90.00
_cell_angle_beta 90.00
_cell_angle_gamma 120.00
_symmetry_space_group_name_H-M 'R -3 m'
_symmetry_Int_Tables_number 166
_symmetry_space_group_name_Hall '-R 3 2"'
loop_
_atom_site_label
_atom_site_type_symbol
_atom_site_fract_x
_atom_site_fract_y
_atom_site_fract_z
Na1 Na 0.0000 0.0000 0.0000
Na2 Na 0.0000 0.0000 0.1431
Li1 Li 0.0000 0.0000 0.3340
In1 In 0.0000 0.0000 0.5000
In2 In 0.0049 0.5024 0.9201
# V   958.0 Å³/cell
# Formation energy   -0.1223 eV per atom
# Total magnetic moment   0.0 Bohr magnetons per cell


No. 5
# PBE-GGA CaLaY2In4, relaxed
data_CaLaY2In4
_chemical_formula_sum 'Ca3 La3 Y6 In12'
_cell_length_a 5.4103
_cell_length_b 5.4103
_cell_length_c 26.7713
_cell_angle_alpha 90.00
_cell_angle_beta 90.00
_cell_angle_gamma 120.00
_symmetry_space_group_name_H-M 'R -3 m'
_symmetry_Int_Tables_number 166
_symmetry_space_group_name_Hall '-R 3 2"'
loop_
_atom_site_label
_atom_site_type_symbol
_atom_site_fract_x
_atom_site_fract_y
_atom_site_fract_z
Ca1 Ca 0.0000 0.0000 0.0000
La1 La 0.0000 0.0000 0.5000
Y1 Y 0.0000 0.0000 0.2519
In1 In 0.0000 0.0000 0.1239
In2 In 0.0000 0.0000 0.3738
# V   678.6 Å³/cell
# Formation energy   -0.4848 eV per atom
# Total magnetic moment   0.0 Bohr magnetons per cell


No. 6
# PBE-GGA ThTlOs, relaxed
data_ThTlOs
_chemical_formula_sum 'Th4 Tl4 Os4'
_cell_length_a 3.4759
_cell_length_b 18.1416
_cell_length_c 4.8176
_cell_angle_alpha 90.00
_cell_angle_beta 90.00
_cell_angle_gamma 90.00
_symmetry_space_group_name_H-M 'C m c m'
_symmetry_Int_Tables_number 63
_symmetry_space_group_name_Hall '-C 2c 2'
loop_
_atom_site_label
_atom_site_type_symbol
_atom_site_fract_x
_atom_site_fract_y
_atom_site_fract_z
Th1 Th 0.0000 0.0758 0.2500
Tl1 Tl 0.0000 0.2076 0.7500
Os1 Os 0.0000 0.4405 0.2500
# V   303.8 Å³/cell
# Formation energy   0.0028 eV per atom
# Total magnetic moment   0.0 Bohr magnetons per cell


No. 7
# PBE-GGA Co2H2W, relaxed
data_Co2H2W
_chemical_formula_sum 'Co4 H4 W2'
_cell_length_a 5.7886
_cell_length_b 5.7886
_cell_length_c 2.6868
_cell_angle_alpha 90.00
_cell_angle_beta 90.00
_cell_angle_gamma 90.00
_symmetry_space_group_name_H-M 'P 4/m b m'
_symmetry_Int_Tables_number 127
_symmetry_space_group_name_Hall '-P 4 2ab'
loop_
_atom_site_label
_atom_site_type_symbol
_atom_site_fract_x
_atom_site_fract_y
_atom_site_fract_z
Co1 Co 0.1440 0.3560 0.0000
H1 H 0.2361 0.7361 0.5000
W1 W 0.0000 0.0000 0.5000
# V   90.0 Å³/cell
# Total DFT energy (no corrections)   -64.6 eV per cell
# Total magnetic moment   0.0 Bohr magnetons per cell


No. 8
# PBE-GGA BaHS, relaxed
data_BaHS
_chemical_formula_sum 'Ba6 H6 S6'
_cell_length_a 4.5588
_cell_length_b 4.5588
_cell_length_c 23.1578
_cell_angle_alpha 90.00
_cell_angle_beta 90.00
_cell_angle_gamma 120.00
_symmetry_space_group_name_H-M 'R 3 m'
_symmetry_Int_Tables_number 160
_symmetry_space_group_name_Hall 'R 3 -2"'
loop_
_atom_site_label
_atom_site_type_symbol
_atom_site_fract_x
_atom_site_fract_y
_atom_site_fract_z
Ba1 Ba 0.0000 0.0000 0.0000
Ba2 Ba 0.0000 0.0000 0.1706
H1 H 0.0000 0.0000 0.8073
H2 H 0.0000 0.0000 0.8406
S1 S 0.0000 0.0000 0.4155
S2 S 0.0000 0.0000 0.5862
# V   416.8 Å³/cell
# Total DFT energy (no corrections)   -79.9 eV per cell
# Total magnetic moment   0.0 Bohr magnetons per cell


No. 9
# PBE-GGA MgCr2Te, relaxed
data_MgCr2Te
_chemical_formula_sum 'Mg1 Cr2 Te1'
_cell_length_a 4.4029
_cell_length_b 4.4029
_cell_length_c 4.0877
_cell_angle_alpha 90.00
_cell_angle_beta 90.00
_cell_angle_gamma 90.00
_symmetry_space_group_name_H-M 'P 4/m m m'
_symmetry_Int_Tables_number 123
_symmetry_space_group_name_Hall '-P 4 2'
loop_
_atom_site_label
_atom_site_type_symbol
_atom_site_fract_x
_atom_site_fract_y
_atom_site_fract_z
Mg1 Mg 0.0000 0.0000 0.0000
Cr1 Cr 0.0000 0.5000 0.5000
Te1 Te 0.5000 0.5000 0.0000
# V   79.2 Å³/cell
# Formation energy (no corrections)   0.405 eV per atom
# Total magnetic moment   8.3 Bohr magnetons per cell


No. 10
# PBE-GGA Tl3Ga3SnI8, relaxed
data_Tl3Ga3SnI8
_chemical_formula_sum 'Tl9 Ga9 Sn3 I24'
_cell_length_a 9.5493
_cell_length_b 9.5493
_cell_length_c 24.3229
_cell_angle_alpha 90.00
_cell_angle_beta 90.00
_cell_angle_gamma 120.00
_symmetry_space_group_name_H-M 'R -3 m'
_symmetry_Int_Tables_number 166
_symmetry_space_group_name_Hall '-R 3 2"'
loop_
_atom_site_label
_atom_site_type_symbol
_atom_site_fract_x
_atom_site_fract_y
_atom_site_fract_z
Tl1 Tl 0.0000 0.5000 0.0000
Ga1 Ga 0.0000 0.5000 0.5000
Sn1 Sn 0.0000 0.0000 0.5000
I1 I 0.0000 0.0000 0.2433
I2 I 0.0089 0.5044 0.2413
# V   1921.0 Å³/cell
# Formation energy (no corrections)   -0.502 eV per atom
# Total magnetic moment   0.0 Bohr magnetons per cell


No. 11
# PBE-GGA CaPuSbPt, relaxed
data_CaPuSbPt
_chemical_formula_sum 'Ca4 Pu4 Sb4 Pt4'
_cell_length_a 7.3313
_cell_length_b 7.3313
_cell_length_c 7.3313
_cell_angle_alpha 90.00
_cell_angle_beta 90.00
_cell_angle_gamma 90.00
_symmetry_space_group_name_H-M 'F -4 3 m'
_symmetry_Int_Tables_number 216
_symmetry_space_group_name_Hall 'F -4 2 3'
loop_
_atom_site_label
_atom_site_type_symbol
_atom_site_fract_x
_atom_site_fract_y
_atom_site_fract_z
Ca1 Ca 0.0000 0.0000 0.0000
Pu1 Pu 0.0000 0.0000 0.5000
Sb1 Sb 0.2500 0.2500 0.2500
Pt1 Pt 0.2500 0.2500 0.7500
# V   394.0 Å³/cell
# Formation energy (no corrections)   -0.699 eV per atom
# Total magnetic moment   20.8 Bohr magnetons per cell


No. 12
# PBE-GGA Mn2IrOs, relaxed
data_Mn2IrOs
_chemical_formula_sum 'Mn2 Ir1 Os1'
_cell_length_a 2.6690
_cell_length_b 2.6690
_cell_length_c 7.3708
_cell_angle_alpha 90.00
_cell_angle_beta 90.00
_cell_angle_gamma 90.00
_symmetry_space_group_name_H-M 'P 4 m m'
_symmetry_Int_Tables_number 99
_symmetry_space_group_name_Hall 'P 4 -2'
loop_
_atom_site_label
_atom_site_type_symbol
_atom_site_fract_x
_atom_site_fract_y
_atom_site_fract_z
Mn1 Mn 0.0000 0.0000 0.0000
Mn2 Mn 0.5000 0.5000 0.2346
Ir1 Ir 0.5000 0.5000 0.7450
Os1 Os 0.0000 0.0000 0.4783
# V   52.5 Å³/cell
# Formation energy   0.0269 eV per atom
# Total magnetic moment   0.7 Bohr magnetons per cell